VASP calculation (PBE) on a geometry-optimized LiPrGa2 structure.

Summary:
**Calculated total energy**: -58.29 eV per cell
**Energy relative to the elements**: -0.456 eV/atom
**Polymorph energy (0 for the lowest one)**: 26.4 meV/atom

Cell lengths 7.506, 3.954, 11.826 Å; angles 90.00, 90.00, 90.00 degrees
Fractional positions:
Li  0.117  0.250  0.050
Li  0.383  0.750  0.550
Li  0.617  0.250  0.450
Li  0.883  0.750  0.950
Pr  0.137  0.250  0.362
Pr  0.363  0.750  0.862
Pr  0.637  0.250  0.138
Pr  0.863  0.750  0.638
Ga  0.033  0.250  0.831
Ga  0.193  0.250  0.640
Ga  0.307  0.750  0.140
Ga  0.467  0.750  0.331
Ga  0.533  0.250  0.669
Ga  0.693  0.250  0.860
Ga  0.807  0.750  0.360
Ga  0.967  0.750  0.169